Material: Hf2IrN
Method: DFT, PBE
State: relaxed

Unit cell a=6.1120 b=6.1120 c=5.7193 alpha=57.70 beta=57.70 gamma=90.00
Closest atoms and distances in Å follow each position.
Sites, in units of the cell vectors:
Ir (0.0000, 0.0000, 0.0000)  4 Hf 2.65
Ir (0.7500, 0.2500, 0.5000)  4 Hf 2.65
Hf (0.5547, 0.1250, 0.2500)  2 N 2.10
Hf (0.1953, 0.6250, 0.2500)  2 N 2.10
Hf (0.3750, 0.4453, 0.7500)  2 N 2.10
Hf (0.8750, 0.8047, 0.7500)  2 N 2.10
N (0.5000, 0.5000, 0.0000)  4 Hf 2.10
N (0.2500, 0.7500, 0.5000)  4 Hf 2.10

Properties
Space-group type: I-42d
Calculated total energy: -10.1663 eV per atom
Spin magnetization: 0.0 μB/f.u.